Ce2Mg15In2 | Alexandria | GGA-PBE | optimized geometry; energy = -2.2245 eV/atom; energy of formation = -0.053 eV per atom
1.0
5.142 2.969 5.041
-5.142 2.969 5.041
0.000 -5.938 5.041
Ce Mg In
2 15 2
direct
0.175 0.175 0.175
0.825 0.825 0.825
0.000 0.500 0.500
0.149 0.149 0.663
0.149 0.663 0.149
0.194 0.500 0.806
0.194 0.806 0.500
0.337 0.851 0.851
0.500 0.000 0.500
0.500 0.194 0.806
0.500 0.500 0.000
0.500 0.806 0.194
0.663 0.149 0.149
0.806 0.194 0.500
0.806 0.500 0.194
0.851 0.337 0.851
0.851 0.851 0.337
0.400 0.400 0.400
0.600 0.600 0.600

Ce2MgIn | Alexandria | GGA-PBE | optimized geometry; energy = -4.2529 eV/atom; energy of formation = -0.203 eV per atom
1.0
4.500 0.000 0.000
0.000 4.500 0.000
0.000 0.000 5.051
Ce Mg In
2 1 1
direct
0.000 0.500 0.000
0.500 0.000 0.000
0.000 0.000 0.500
0.500 0.500 0.500

CeMg4In | Alexandria | GGA-PBE | optimized geometry; energy = -2.4702 eV/atom; energy of formation = 0.038 eV per atom
1.0
0.000 4.247 4.247
4.247 0.000 4.247
4.247 4.247 0.000
Ce Mg In
1 4 1
direct
0.000 0.000 0.000
0.375 0.375 0.375
0.375 0.375 0.875
0.375 0.875 0.375
0.875 0.375 0.375
0.750 0.750 0.750

Ce2MgIn3 | Alexandria | GGA-PBE | optimized geometry; energy = -3.9607 eV/atom; energy of formation = -0.348 eV per atom; ΔE to the lowest computed polymorph = 8 meV per atom
1.0
3.123 1.803 4.564
-3.123 1.803 4.564
0.000 -3.606 4.564
Ce Mg In
2 1 3
direct
0.105 0.105 0.105
0.895 0.895 0.895
0.500 0.500 0.500
0.000 0.500 0.500
0.500 0.000 0.500
0.500 0.500 0.000

Question: Which of these has the highest energy of formation?
Answer: CeMg4In